Record 1
A geometry-optimized RbSmAg2Cl6 structure, computed with GGA-PBE.

Computed properties:
DOS at the Fermi energy = 0.000 states/eV/atom
Raw formation energy = -1474 meV/atom

abc: 7.760 7.760 7.760
angles: 55.41 55.41 55.41
Sites, in units of the cell vectors:
Rb 0.000 0.000 0.000
Sm 0.477 0.477 0.477
Ag 0.280 0.280 0.280
Ag 0.797 0.797 0.797
Cl 0.069 0.622 0.466
Cl 0.213 0.542 0.878
Cl 0.466 0.069 0.622
Cl 0.542 0.878 0.213
Cl 0.622 0.466 0.069
Cl 0.878 0.213 0.542


Record 2
A geometry-optimized Rb2SmAg2Cl6 structure, computed with GGA-PBE.

Computed properties:
DOS at the Fermi energy = 0.123 states/eV/atom
Raw formation energy = -1479 meV/atom

abc: 7.507 7.507 8.544
angles: 114.63 114.63 64.15
Sites, in units of the cell vectors:
Rb 0.213 0.213 0.153
Rb 0.787 0.787 0.847
Sm 0.000 0.000 0.500
Ag 0.445 0.445 0.817
Ag 0.555 0.555 0.183
Cl 0.166 0.702 0.233
Cl 0.226 0.226 0.546
Cl 0.298 0.834 0.767
Cl 0.702 0.166 0.233
Cl 0.774 0.774 0.454
Cl 0.834 0.298 0.767


Record 3
A geometry-optimized RbSmAgCl6 structure, computed with GGA-PBE.

Computed properties:
DOS at the Fermi energy = 0.089 states/eV/atom
Raw formation energy = -1563 meV/atom

abc: 6.851 6.863 7.375
angles: 92.07 92.28 115.48
Sites, in units of the cell vectors:
Rb 0.000 0.000 0.000
Sm 0.334 0.667 0.501
Ag 0.680 0.320 0.500
Cl 0.012 0.352 0.682
Cl 0.027 0.623 0.255
Cl 0.380 0.971 0.748
Cl 0.400 0.355 0.294
Cl 0.646 0.598 0.707
Cl 0.647 0.989 0.318


Computed DFT total energy, in the same sequence as the records: -3.721 -3.609 -3.743 eV/atom.
Computed spin magnetization, in the same sequence as the records: 0.00 1.01 1.06 Bohr magnetons per cell.